# 1
Crystalline HfPd7Pt4 at its relaxed geometry, computed with PBE-GGA.

Cell: 9.9712 4.8730 9.7013 Å, 90.00 119.71 90.00°
Space group C2/m (No. 12)
Unique sites:
Hf (0.0000, 0.0000, 0.0000)
Pd (0.0000, 0.5000, 0.0000)
Pd (0.1118, 0.0000, 0.4516)
Pd (0.1550, 0.5000, 0.6199)
Pd (0.2198, 0.5000, 0.9202)
Pt (0.0853, 0.5000, 0.3104)
Pt (0.1885, 0.0000, 0.7681)

Summary:
* E: -5.835 eV per atom



# 2
Crystalline Mg2InGaRh at its relaxed geometry, computed with PBE-GGA.

Cell: 3.1701 4.6217 13.2011 Å, 90.00 90.00 90.00°
Space group Imm2 (No. 44)
Unique sites:
Mg (0.0000, 0.0000, 0.0000)
Mg (0.0000, 0.0000, 0.3446)
In (0.0000, 0.0000, 0.5695)
Ga (0.0000, 0.0000, 0.7782)
Rh (0.0000, 0.5000, 0.6816)

Summary:
* E: -3.509 eV per atom



# 3
Crystalline BaCoRu2 at its relaxed geometry, computed with PBE-GGA.

Cell: 4.2808 4.2808 17.3621 Å, 90.00 90.00 120.00°
Space group R3m (No. 160, hexagonal axes)
Unique sites:
Ba (0.0000, 0.0000, 0.0000)
Co (0.0000, 0.0000, 0.8114)
Ru (0.0000, 0.0000, 0.1869)
Ru (0.0000, 0.0000, 0.5021)

Summary:
* E above lowest polymorph: 0.02 eV per formula unit
* E: -6.563 eV per atom